! KTe3, optimized geometry, DFT PBE-GGA; values from VASP
&SYSTEM
  ibrav = 0, nat = 4, ntyp = 2
/
ATOMIC_SPECIES
Te 127.60 Te.upf
K 39.10 K.upf
CELL_PARAMETERS angstrom
-5.178 -6.562 0.893
-2.151 -7.717 -2.550
-0.851 -8.127 1.977
ATOMIC_POSITIONS angstrom
Te -6.282 -17.206 0.245
Te -4.090 -11.203 0.160
Te -1.899 -5.200 0.074
K 0.000 0.000 0.000
! space-group type	R-3m (166)
! uncorrected energy	-11.6	eV for the cell shown
! formation energy from raw total energies	-0.27	eV per atom

=====

! KTe2, optimized geometry, DFT PBE-GGA; values from VASP
&SYSTEM
  ibrav = 0, nat = 6, ntyp = 2
/
ATOMIC_SPECIES
Te 127.60 Te.upf
K 39.10 K.upf
CELL_PARAMETERS angstrom
-7.936 0.641 6.754
-10.418 0.688 -0.042
8.939 -4.273 -3.294
ATOMIC_POSITIONS angstrom
Te -10.831 0.784 3.961
Te -6.983 -1.341 0.615
Te -3.674 -1.580 -0.595
Te -7.523 0.544 2.751
K -4.087 -1.484 3.408
K 0.000 0.000 0.000
! space-group type	I4_1/amd (141)
! uncorrected energy	-17.8	eV for the cell shown
! formation energy from raw total energies	-0.50	eV per atom

=====

Summary of spin magnetization in μB per formula unit
0.00; 0.00
(order as listed above)
Summary of excess energy over the best structure of this formula in the dataset in eV per atom
0.111; 0.059
(order as listed above)